Sc2TlPd6: optimized geometry, PBE.

As for the calculated volume: 327.6 Å³ per cell. As for the formation energy: -472 meV per atom.

The structure belongs to space group C2/m (No. 12); the cell edges are 14.307, 7.594 and 3.085 Å and the angles 90.00°, 102.18° and 90.00°. The distinct sites, in fractional coordinates, are Sc at (0.166, 0.000, 0.167), Tl at (0.000, 0.500, 0.500), Pd at (0.000, 0.186, 0.000) and Pd at (0.168, 0.296, 0.669).


Sc4TlPd5: optimized geometry, PBE.

As for the calculated volume: 185.3 Å³ per cell. As for the formation energy: -775 meV per atom.

The structure belongs to space group P4/mmm (No. 123); the cell edges are 3.315, 3.315 and 16.864 Å and the angles 90.00°, 90.00° and 90.00°. The distinct sites, in fractional coordinates, are Sc at (0.000, 0.000, 0.099), Sc at (0.000, 0.000, 0.299), Tl at (0.000, 0.000, 0.500), Pd at (0.500, 0.500, 0.000), Pd at (0.500, 0.500, 0.197) and Pd at (0.500, 0.500, 0.384).


ScTl3Pd: optimized geometry, PBE.

As for the calculated volume: 144.8 Å³ per cell. As for the polymorph energy (0 for the lowest one): 0 meV per atom. As for the formation energy: 241 meV per atom.

The structure belongs to space group Pm-3m (No. 221); the cell edges are 5.251, 5.251 and 5.251 Å and the angles 90.00°, 90.00° and 90.00°. The distinct sites, in fractional coordinates, are Sc at (0.000, 0.000, 0.000), Tl at (0.000, 0.500, 0.500) and Pd at (0.500, 0.500, 0.500).


ScTl3Pd6: optimized geometry, PBE.

As for the calculated volume: 364.1 Å³ per cell. As for the formation energy: -348 meV per atom.

The structure belongs to space group P2_1/m (No. 11); the cell edges are 7.856, 4.849 and 10.320 Å and the angles 90.00°, 112.12° and 90.00°. The distinct sites, in fractional coordinates, are Sc at (0.188, 0.250, 0.121), Tl at (0.033, 0.750, 0.686), Tl at (0.253, 0.750, 0.481), Tl at (0.376, 0.250, 0.904), Pd at (0.016, 0.750, 0.170), Pd at (0.182, 0.250, 0.610), Pd at (0.206, 0.750, 0.979), Pd at (0.366, 0.250, 0.409), Pd at (0.411, 0.750, 0.271) and Pd at (0.431, 0.750, 0.782).


ScTl3Pd12: optimized geometry, PBE.

As for the calculated volume: 269.0 Å³ per cell. As for the formation energy: -357 meV per atom.

The structure belongs to space group P4/mmm (No. 123); the cell edges are 4.049, 4.049 and 16.406 Å and the angles 90.00°, 90.00° and 90.00°. The distinct sites, in fractional coordinates, are Sc at (0.000, 0.000, 0.000), Tl at (0.000, 0.000, 0.249), Tl at (0.000, 0.000, 0.500), Pd at (0.000, 0.500, 0.120), Pd at (0.000, 0.500, 0.374), Pd at (0.500, 0.500, 0.000), Pd at (0.500, 0.500, 0.245) and Pd at (0.500, 0.500, 0.500).


Sc3TlPd2: optimized geometry, PBE.

As for the calculated volume: 119.3 Å³ per cell. As for the formation energy: -686 meV per atom.

The structure belongs to space group P4/mmm (No. 123); the cell edges are 3.354, 3.354 and 10.599 Å and the angles 90.00°, 90.00° and 90.00°. The distinct sites, in fractional coordinates, are Sc at (0.000, 0.000, 0.000), Sc at (0.000, 0.000, 0.307), Tl at (0.500, 0.500, 0.500) and Pd at (0.500, 0.500, 0.158).


The lowest calculated volume belongs to which entry? Sc3TlPd2


Repeat the sixth record exactly.
Sc3TlPd2: optimized geometry, PBE.

As for the calculated volume: 119.3 Å³ per cell. As for the formation energy: -686 meV per atom.

The structure belongs to space group P4/mmm (No. 123); the cell edges are 3.354, 3.354 and 10.599 Å and the angles 90.00°, 90.00° and 90.00°. The distinct sites, in fractional coordinates, are Sc at (0.000, 0.000, 0.000), Sc at (0.000, 0.000, 0.307), Tl at (0.500, 0.500, 0.500) and Pd at (0.500, 0.500, 0.158).